# 1
{"formula": "ScSiSb2Rh", "functional": "PBE", "state": "optimized geometry", "lattice_angstrom": [[5.317, 0.000, 0.000], [0.000, 5.317, 0.000], [0.000, 0.000, 4.903]], "species": ["Sc", "Si", "Sb", "Sb", "Rh"], "frac_coords": [[0.000, 0.000, 0.000], [0.000, 0.000, 0.500], [0.000, 0.500, 0.000], [0.500, 0.000, 0.000], [0.500, 0.500, 0.500]], "crystal_system": "tetragonal", "total_magnetization_mub_per_atom": 0.0003, "n_ef_per_ev_fu": 5.8, "raw_formation_energy_ev_per_atom": 0.92, "dft_energy_ev_per_atom": -4.55}

=====

# 2
{"formula": "ScSn2SbRh", "functional": "PBE", "state": "optimized geometry", "lattice_angstrom": [[5.505, 0.000, 0.000], [0.000, 5.505, 0.000], [0.000, 0.000, 4.645]], "species": ["Sc", "Sn", "Sn", "Sb", "Rh"], "frac_coords": [[0.000, 0.000, 0.000], [0.000, 0.500, 0.000], [0.500, 0.000, 0.000], [0.500, 0.500, 0.500], [0.000, 0.000, 0.500]], "crystal_system": "tetragonal", "total_magnetization_mub_per_atom": 0.0000, "n_ef_per_ev_fu": 5.3, "raw_formation_energy_ev_per_atom": 0.50, "dft_energy_ev_per_atom": -4.66}

=====

# 3
{"formula": "Sr2ScSb3Rh4", "functional": "PBE", "state": "optimized geometry", "lattice_angstrom": [[4.402, 0.000, 0.000], [0.000, 4.402, 0.000], [0.000, 0.000, 11.409]], "species": ["Sr", "Sr", "Sc", "Sb", "Sb", "Sb", "Rh", "Rh", "Rh", "Rh"], "frac_coords": [[0.000, 0.500, 0.244], [0.500, 0.000, 0.756], [0.000, 0.000, 0.500], [0.000, 0.500, 0.869], [0.500, 0.000, 0.131], [0.500, 0.500, 0.500], [0.000, 0.000, 0.000], [0.000, 0.500, 0.637], [0.500, 0.000, 0.363], [0.500, 0.500, 0.000]], "crystal_system": "tetragonal", "total_magnetization_mub_per_atom": 0.0000, "n_ef_per_ev_fu": 7.4, "raw_formation_energy_ev_per_atom": -0.80, "dft_energy_ev_per_atom": -5.95}

=====

# 4
{"formula": "SrScSbRh2", "functional": "PBE", "state": "optimized geometry", "lattice_angstrom": [[5.033, 0.000, 0.000], [0.000, 5.033, 0.000], [0.000, 0.000, 5.208]], "species": ["Sr", "Sc", "Sb", "Rh", "Rh"], "frac_coords": [[0.000, 0.000, 0.000], [0.500, 0.500, 0.000], [0.500, 0.500, 0.500], [0.000, 0.500, 0.500], [0.500, 0.000, 0.500]], "crystal_system": "tetragonal", "total_magnetization_mub_per_atom": 0.0000, "n_ef_per_ev_fu": 10.9, "raw_formation_energy_ev_per_atom": 0.15, "dft_energy_ev_per_atom": -5.22}

=====

# 5
{"formula": "ScTcSbRh", "functional": "PBE", "state": "optimized geometry", "lattice_angstrom": [[6.431, 0.000, 0.000], [0.000, 6.431, 0.000], [0.000, 0.000, 6.431]], "species": ["Sc", "Sc", "Sc", "Sc", "Tc", "Tc", "Tc", "Tc", "Sb", "Sb", "Sb", "Sb", "Rh", "Rh", "Rh", "Rh"], "frac_coords": [[0.000, 0.000, 0.000], [0.000, 0.500, 0.500], [0.500, 0.000, 0.500], [0.500, 0.500, 0.000], [0.250, 0.250, 0.750], [0.250, 0.750, 0.250], [0.750, 0.250, 0.250], [0.750, 0.750, 0.750], [0.000, 0.000, 0.500], [0.000, 0.500, 0.000], [0.500, 0.000, 0.000], [0.500, 0.500, 0.500], [0.250, 0.250, 0.250], [0.250, 0.750, 0.750], [0.750, 0.250, 0.750], [0.750, 0.750, 0.250]], "crystal_system": "cubic", "total_magnetization_mub_per_atom": 0.0000, "n_ef_per_ev_fu": 0.4, "raw_formation_energy_ev_per_atom": -0.58, "dft_energy_ev_per_atom": -7.63}

=====

# 6
{"formula": "SbRhSe2", "functional": "PBE", "state": "optimized geometry", "lattice_angstrom": [[8.716, 0.000, 0.000], [0.000, 3.543, 0.000], [-3.482, 0.000, 6.375]], "species": ["Sb", "Sb", "Rh", "Rh", "Se", "Se", "Se", "Se"], "frac_coords": [[0.000, 0.000, 0.000], [0.500, 0.500, 0.000], [0.221, 0.000, 0.848], [0.721, 0.500, 0.848], [0.076, 0.500, 0.603], [0.181, 0.500, 0.326], [0.576, 0.000, 0.603], [0.681, 0.000, 0.326]], "crystal_system": "monoclinic", "total_magnetization_mub_per_atom": 0.0000, "n_ef_per_ev_fu": 1.2, "raw_formation_energy_ev_per_atom": -0.07, "dft_energy_ev_per_atom": -4.68}